[1]
Material: NbMoS2N
Method: DFT, PBE
State: relaxed

E = -7.064 eV/atom
Theoretical density = 4.73 g cm⁻³
Magnetization = 3.91 μB/f.u.
Space group = P4/mmm (123)
Distance to the lowest polymorph of the same formula = 89 meV/atom

abc: 4.922 4.922 3.872
angles: 90.00 90.00 90.00
Fractional coordinates of all 5 atoms:
1 Nb 0.000 0.000 0.000
2 Mo 0.500 0.500 0.500
3 S 0.000 0.500 0.000
4 S 0.500 0.000 0.000
5 N 0.000 0.000 0.500

[2]
Material: NbMoS2N
Method: DFT, PBE
State: relaxed

E = -7.154 eV/atom
Theoretical density = 5.11 g cm⁻³
Magnetization = 2.54 μB/f.u.
Space group = P4/mmm (123)
Distance to the lowest polymorph of the same formula = 0 meV/atom

abc: 4.810 4.810 3.749
angles: 90.00 90.00 90.00
Fractional coordinates of all 5 atoms:
1 Nb 0.000 0.000 0.000
2 Mo 0.500 0.500 0.500
3 S 0.000 0.500 0.500
4 S 0.500 0.000 0.500
5 N 0.500 0.500 0.000

[3]
Material: NbMoSe2N
Method: DFT, PBE
State: relaxed

E = -6.745 eV/atom
Theoretical density = 5.78 g cm⁻³
Magnetization = 3.94 μB/f.u.
Space group = P4/mmm (123)
Distance to the lowest polymorph of the same formula = 77 meV/atom

abc: 5.177 5.177 3.869
angles: 90.00 90.00 90.00
Fractional coordinates of all 5 atoms:
1 Nb 0.000 0.000 0.000
2 Mo 0.500 0.500 0.500
3 Se 0.000 0.500 0.000
4 Se 0.500 0.000 0.000
5 N 0.000 0.000 0.500

[4]
Material: NbMoSe2N
Method: DFT, PBE
State: relaxed

E = -6.822 eV/atom
Theoretical density = 6.20 g cm⁻³
Magnetization = 2.73 μB/f.u.
Space group = P4/mmm (123)
Distance to the lowest polymorph of the same formula = 0 meV/atom

abc: 5.076 5.076 3.750
angles: 90.00 90.00 90.00
Fractional coordinates of all 5 atoms:
1 Nb 0.000 0.000 0.000
2 Mo 0.500 0.500 0.500
3 Se 0.000 0.500 0.500
4 Se 0.500 0.000 0.500
5 N 0.500 0.500 0.000

[5]
Material: Sm2NbMoN5
Method: DFT, PBE
State: relaxed

E = -9.050 eV/atom
Theoretical density = 7.94 g cm⁻³
Magnetization = 0.00 μB/f.u.
Space group = Cmc2_1 (36)

abc: 6.915 6.915 10.426
angles: 90.00 90.00 152.00
Fractional coordinates of all 18 atoms:
1 Sm 0.110 0.890 0.500
2 Sm 0.145 0.855 0.102
3 Sm 0.855 0.145 0.602
4 Sm 0.890 0.110 0.000
5 Nb 0.221 0.779 0.820
6 Nb 0.779 0.221 0.320
7 Mo 0.472 0.528 0.270
8 Mo 0.528 0.472 0.770
9 N 0.047 0.953 0.860
10 N 0.282 0.718 0.455
11 N 0.318 0.682 0.187
12 N 0.368 0.632 0.809
13 N 0.490 0.510 0.594
14 N 0.510 0.490 0.094
15 N 0.632 0.368 0.309
16 N 0.682 0.318 0.687
17 N 0.718 0.282 0.955
18 N 0.953 0.047 0.360

[6]
Material: Nb2SnMoN
Method: DFT, PBE
State: relaxed

E = -5.604 eV/atom
Theoretical density = 5.50 g cm⁻³
Magnetization = 0.41 μB/f.u.
Space group = P4/mmm (123)
Distance to the lowest polymorph of the same formula = 3418 meV/atom

abc: 5.066 5.066 4.879
angles: 90.00 90.00 90.00
Fractional coordinates of all 5 atoms:
1 Nb 0.000 0.500 0.000
2 Nb 0.500 0.000 0.000
3 Sn 0.000 0.000 0.000
4 Mo 0.000 0.000 0.500
5 N 0.500 0.500 0.500

[7]
Material: Nb2SnMoN
Method: DFT, PBE
State: relaxed

E = -9.022 eV/atom
Theoretical density = 8.76 g cm⁻³
Magnetization = 0.00 μB/f.u.
Space group = P4/mmm (123)
Distance to the lowest polymorph of the same formula = 0 meV/atom

abc: 4.307 4.307 4.236
angles: 90.00 90.00 90.00
Fractional coordinates of all 5 atoms:
1 Nb 0.000 0.500 0.000
2 Nb 0.500 0.000 0.000
3 Sn 0.000 0.000 0.500
4 Mo 0.500 0.500 0.500
5 N 0.500 0.500 0.000

[8]
Material: NbSnMoN2
Method: DFT, PBE
State: relaxed

E = -6.091 eV/atom
Theoretical density = 6.25 g cm⁻³
Magnetization = 0.00 μB/f.u.
Space group = P4/mmm (123)

abc: 4.011 4.011 5.544
angles: 90.00 90.00 90.00
Fractional coordinates of all 5 atoms:
1 Nb 0.000 0.000 0.000
2 Sn 0.000 0.000 0.500
3 Mo 0.500 0.500 0.000
4 N 0.000 0.500 0.500
5 N 0.500 0.000 0.500

[9]
Material: Ta2NbMoN
Method: DFT, PBE
State: relaxed

E = -10.918 eV/atom
Theoretical density = 12.10 g cm⁻³
Magnetization = 0.00 μB/f.u.
Space group = P4/mmm (123)

abc: 4.221 4.221 4.350
angles: 90.00 90.00 90.00
Fractional coordinates of all 5 atoms:
1 Ta 0.000 0.500 0.000
2 Ta 0.500 0.000 0.000
3 Nb 0.000 0.000 0.500
4 Mo 0.500 0.500 0.500
5 N 0.000 0.000 0.000

[10]
Material: Tb2NbMoN5
Method: DFT, PBE
State: relaxed

E = -9.077 eV/atom
Theoretical density = 8.48 g cm⁻³
Magnetization = 0.00 μB/f.u.
Space group = Cmc2_1 (36)

abc: 6.846 6.846 10.270
angles: 90.00 90.00 152.03
Fractional coordinates of all 18 atoms:
1 Tb 0.109 0.891 0.500
2 Tb 0.145 0.855 0.102
3 Tb 0.855 0.145 0.602
4 Tb 0.891 0.109 0.000
5 Nb 0.220 0.780 0.820
6 Nb 0.780 0.220 0.320
7 Mo 0.472 0.528 0.270
8 Mo 0.528 0.472 0.770
9 N 0.048 0.952 0.864
10 N 0.281 0.719 0.458
11 N 0.318 0.682 0.184
12 N 0.370 0.630 0.809
13 N 0.490 0.510 0.591
14 N 0.510 0.490 0.091
15 N 0.630 0.370 0.309
16 N 0.682 0.318 0.684
17 N 0.719 0.281 0.958
18 N 0.952 0.048 0.364

[11]
Material: Th2NbMoN6
Method: DFT, PBE
State: relaxed

E = -9.663 eV/atom
Theoretical density = 8.39 g cm⁻³
Magnetization = 0.00 μB/f.u.
Space group = P4mm (99)

abc: 5.556 5.556 4.727
angles: 90.00 90.00 90.00
Fractional coordinates of all 10 atoms:
1 Th 0.000 0.500 0.000
2 Th 0.500 0.000 0.000
3 Nb 0.000 0.000 0.586
4 Mo 0.500 0.500 0.584
5 N 0.000 0.000 0.187
6 N 0.253 0.253 0.722
7 N 0.253 0.747 0.722
8 N 0.500 0.500 0.205
9 N 0.747 0.253 0.722
10 N 0.747 0.747 0.722

[12]
Material: Nb2VMoN
Method: DFT, PBE
State: relaxed

E = -10.121 eV/atom
Theoretical density = 7.92 g cm⁻³
Magnetization = 0.00 μB/f.u.
Space group = P4/mmm (123)

abc: 4.421 4.421 3.718
angles: 90.00 90.00 90.00
Fractional coordinates of all 5 atoms:
1 Nb 0.000 0.500 0.000
2 Nb 0.500 0.000 0.000
3 V 0.000 0.000 0.500
4 Mo 0.500 0.500 0.500
5 N 0.000 0.000 0.000